[1]
First-principles (PBE) data for a geometry-optimized BaSr2ZnH structure, as listed in the Alexandria database.

Unit cell a=5.342 b=5.342 c=5.685 alpha=90.00 beta=90.00 gamma=90.00
Positions (direct):
Sr: 0.000 0.500 0.000
Sr: 0.500 0.000 0.000
Zn: 0.500 0.500 0.500
Ba: 0.000 0.000 0.500
H: 0.000 0.000 0.000

Crystal system: tetragonal
DFT total energy, Ha/atom: -0.0762

---

[2]
First-principles (PBE) data for a geometry-optimized BaSrZrH2 structure, as listed in the Alexandria database.

Unit cell a=4.826 b=6.827 c=4.826 alpha=90.00 beta=90.00 gamma=90.00
Each line ends with the local moment (μB).
Positions (direct):
Sr: 0.000 0.000 0.000  0.09
Ba: 0.500 0.500 0.500  0.21
Zr: 0.000 0.500 0.000  1.59
H: 0.000 0.000 0.500  0.01
H: 0.500 0.000 0.000  0.01

Crystal system: tetragonal
DFT total energy, Ha/atom: -0.1132